(1)
! Cs6K4Hg, relaxed, DFT GGA-PBE; values from VASP
! * DFT total energy: -20.1 eV per cell
! * ΔE_f: -0.2 eV/f.u.
! * space-group type: P4/mnc
! * DOS at the Fermi energy: 18.6 states/eV per cell
&SYSTEM
  ibrav = 0, nat = 22, ntyp = 3
/
ATOMIC_SPECIES
Cs 132.91 Cs.upf
K 39.10 K.upf
Hg 200.59 Hg.upf
CELL_PARAMETERS angstrom
12.125 0.000 0.000
0.000 12.125 0.000
0.000 0.000 13.136
ATOMIC_POSITIONS angstrom
Cs 3.658 10.387 6.568
Cs 9.720 7.800 0.000
Cs 7.800 2.404 0.000
Cs 1.737 3.658 6.568
Cs 0.000 0.000 2.650
Cs 6.062 6.062 3.918
Cs 4.325 9.720 0.000
Cs 0.000 0.000 10.486
Cs 2.404 4.325 0.000
Cs 6.062 6.062 9.218
Cs 10.387 8.466 6.568
Cs 8.466 1.737 6.568
K 4.488 1.574 3.284
K 1.574 7.637 9.852
K 7.637 10.550 9.852
K 10.550 4.488 9.852
K 4.488 1.574 9.852
K 1.574 7.637 3.284
K 10.550 4.488 3.284
K 7.637 10.550 3.284
Hg 6.062 6.062 0.000
Hg 0.000 0.000 6.568

(2)
! PuAlSnO6, relaxed, DFT GGA-PBE; values from VASP
! * DFT total energy: -144.9 eV per cell
! * E_form (uncorrected): -2294 meV per atom
! * space-group type: P-31c
! * DOS at the Fermi energy: 16.4 states/eV per cell
&SYSTEM
  ibrav = 0, nat = 18, ntyp = 4
/
ATOMIC_SPECIES
Pu 244.00 Pu.upf
Al 26.98 Al.upf
Sn 118.71 Sn.upf
O 16.00 O.upf
CELL_PARAMETERS angstrom
5.229 0.000 0.000
-2.615 4.529 0.000
0.000 0.000 9.025
ATOMIC_POSITIONS angstrom
Pu 0.000 3.019 2.256
Pu 2.615 1.510 6.769
Al 2.615 1.510 2.256
Al 0.000 3.019 6.769
Sn 0.000 0.000 0.000
Sn 0.000 0.000 4.512
O 1.844 2.934 1.182
O 4.233 1.465 1.182
O -0.848 4.399 5.694
O -1.619 3.064 7.843
O 0.996 1.465 3.331
O 3.385 2.934 3.331
O 0.848 4.399 7.843
O 3.463 0.130 3.331
O -0.771 1.595 5.694
O 1.766 0.130 1.182
O 1.619 3.064 5.694
O 0.771 1.595 7.843

(3)
! RbLiBeCl4, relaxed, DFT GGA-PBE; values from VASP
! * DFT total energy: -51.9 eV per cell
! * E_form (uncorrected): -1709 meV per atom
! * space-group type: P2_1/m
! * DOS at the Fermi energy: 0.0 states/eV per cell
&SYSTEM
  ibrav = 0, nat = 14, ntyp = 4
/
ATOMIC_SPECIES
Rb 85.47 Rb.upf
Li 6.94 Li.upf
Be 9.01 Be.upf
Cl 35.45 Cl.upf
CELL_PARAMETERS angstrom
5.752 0.000 -0.282
0.000 6.953 0.000
-2.619 0.000 8.828
ATOMIC_POSITIONS angstrom
Rb 1.469 5.214 7.568
Rb 1.664 1.738 0.978
Li 3.703 5.214 4.100
Li -0.570 1.738 4.446
Be 0.196 5.214 2.558
Be 2.937 1.738 5.988
Cl -1.547 3.370 6.192
Cl 4.680 6.846 2.355
Cl 4.680 3.583 2.355
Cl -1.547 0.107 6.192
Cl 1.237 5.214 0.838
Cl 1.896 1.738 7.708
Cl 1.333 5.214 4.210
Cl 1.800 1.738 4.337

(4)
! Er3Tm2Tl6, relaxed, DFT GGA-PBE; values from VASP
! * DFT total energy: -36.8 eV per cell
! * ΔE_f: 0.0 eV/f.u.
! * space-group type: I4/mmm
! * DOS at the Fermi energy: 7.9 states/eV per cell
&SYSTEM
  ibrav = 0, nat = 11, ntyp = 3
/
ATOMIC_SPECIES
Er 167.26 Er.upf
Tm 168.93 Tm.upf
Tl 204.38 Tl.upf
CELL_PARAMETERS angstrom
-1.689 0.362 4.344
4.122 -1.381 1.718
3.278 14.638 -2.462
ATOMIC_POSITIONS angstrom
Er 0.000 0.000 0.000
Er 3.908 7.950 3.372
Er 1.804 5.669 0.228
Tm 4.021 12.640 0.509
Tm 1.690 0.979 3.091
Tl 3.134 2.683 0.995
Tl 0.229 3.554 2.308
Tl 2.577 10.936 2.605
Tl 5.483 10.065 1.292
Tl 2.987 5.056 3.255
Tl 2.724 8.563 0.345

Which value of DFT total energy does entry 1 give?
-20.1 eV per cell